RbBeP at its PBEsol-relaxed geometry. Source: Alexandria via LeMat-Bulk, functional SCAN.

Lattice parameters (Å, degrees): 6.206 3.722 12.435 90.00 90.00 90.00
Element x y z (fractional)
Rb: 0.092 0.250 0.160
Rb: 0.408 0.750 0.660
Rb: 0.592 0.250 0.340
Rb: 0.908 0.750 0.840
Be: 0.062 0.250 0.465
Be: 0.438 0.750 0.965
Be: 0.562 0.250 0.035
Be: 0.938 0.750 0.535
P: 0.136 0.750 0.393
P: 0.364 0.250 0.893
P: 0.636 0.750 0.107
P: 0.864 0.250 0.607

Summary:
- Energy relative to the elements: -1.8 eV/f.u.
- DFT total energy: -37.25 eV/f.u.
- Space group: No. 62

---

RbBeZn2P at its PBEsol-relaxed geometry. Source: Alexandria via LeMat-Bulk, functional SCAN.

Lattice parameters (Å, degrees): 6.531 6.531 6.165 90.00 90.00 90.00
Element x y z (fractional)
Rb: 0.000 0.000 0.000
Be: 0.500 0.500 0.500
Zn: 0.000 0.500 0.000
Zn: 0.500 0.000 0.000
P: 0.000 0.000 0.500

Summary:
- Energy relative to the elements: 8.4 eV/f.u.
- DFT total energy: -54.15 eV/f.u.
- Space group: No. 123

---

Values of density, in order: 2.901 1.618, all in Mg/m³.